# PBE-GGA LiY2Mg5, relaxed
data_LiY2Mg5
_cell_length_a 4.933
_cell_length_b 4.933
_cell_length_c 16.340
_cell_angle_alpha 90.00
_cell_angle_beta 90.00
_cell_angle_gamma 90.00
_space_group_name_H-M_alt 'I 4/m m m'
_space_group_IT_number 139
_space_group_name_Hall '-I 4 2'
loop_
_atom_site_label
_atom_site_type_symbol
_atom_site_fract_x
_atom_site_fract_y
_atom_site_fract_z
Li1 Li 0.000 0.000 0.000
Y1 Y 0.000 0.000 0.254
Mg1 Mg 0.000 0.000 0.500
Mg2 Mg 0.000 0.500 0.111
# Crystal system: tetragonal
# E: -2.910 eV/atom

=====

# PBE-GGA LiYMg, relaxed
data_LiYMg
_cell_length_a 4.064
_cell_length_b 4.064
_cell_length_c 9.365
_cell_angle_alpha 90.00
_cell_angle_beta 90.00
_cell_angle_gamma 90.00
_space_group_name_H-M_alt 'P 4/n m m'
_space_group_IT_number 129
loop_
_space_group_symop_operation_xyz
'x,y,z'
'-x,-y,-z'
'-y+1/2,x,z'
'y+1/2,-x,-z'
'-x+1/2,-y+1/2,z'
'x+1/2,y+1/2,-z'
'y,-x+1/2,z'
'-y,x+1/2,-z'
'x+1/2,-y,-z'
'-x+1/2,y,z'
'-y,-x,-z'
'y,x,z'
'-x,y+1/2,-z'
'x,-y+1/2,z'
'y+1/2,x+1/2,-z'
'-y+1/2,-x+1/2,z'
loop_
_atom_site_label
_atom_site_type_symbol
_atom_site_fract_x
_atom_site_fract_y
_atom_site_fract_z
Li1 Li 0.250 0.750 0.000
Y1 Y 0.250 0.250 0.390
Mg1 Mg 0.250 0.250 0.770
# Crystal system: tetragonal
# E: -3.280 eV/atom
# Energy above the most stable polymorph in this dataset: 83 meV per atom

=====

# PBE-GGA Li7YMg5, relaxed
data_Li7YMg5
_cell_length_a 5.879
_cell_length_b 10.046
_cell_length_c 9.856
_cell_angle_alpha 90.00
_cell_angle_beta 90.00
_cell_angle_gamma 90.00
_space_group_name_H-M_alt 'I m m 2'
_space_group_IT_number 44
_space_group_name_Hall 'I 2 -2'
loop_
_atom_site_label
_atom_site_type_symbol
_atom_site_fract_x
_atom_site_fract_y
_atom_site_fract_z
Li1 Li 0.000 0.000 0.000
Li2 Li 0.000 0.000 0.300
Li3 Li 0.000 0.281 0.144
Li4 Li 0.000 0.356 0.647
Li5 Li 0.000 0.500 0.342
Y1 Y 0.000 0.000 0.647
Mg1 Mg 0.000 0.500 0.950
Mg2 Mg 0.250 0.244 0.894
# Crystal system: orthorhombic
# E: -2.129 eV/atom

=====

# PBE-GGA LiY2Mg6, relaxed
data_LiY2Mg6
_cell_length_a 15.609
_cell_length_b 9.011
_cell_length_c 3.234
_cell_angle_alpha 90.00
_cell_angle_beta 90.07
_cell_angle_gamma 90.00
_space_group_name_H-M_alt 'C 1 2/m 1'
_space_group_IT_number 12
_space_group_name_Hall '-C 2y'
loop_
_atom_site_label
_atom_site_type_symbol
_atom_site_fract_x
_atom_site_fract_y
_atom_site_fract_z
Li1 Li 0.000 0.000 0.000
Y1 Y 0.167 0.500 0.000
Mg1 Mg 0.000 0.330 0.500
Mg2 Mg 0.165 0.165 0.498
# Crystal system: monoclinic
# E: -2.753 eV/atom

=====

Formation energy across the listed records, respectively: -0.06 0.04 0.01 -0.04 eV per atom.